[1]
Below is a relaxed structure of InSbSe, with properties calculated at the PBE-GGA level.

a b c (Å): 7.747 7.747 5.885
angles (deg): 109.64 109.64 31.73
Fractional positions:
In  0.000  0.000  0.000
In  0.654  0.654  0.632
Sb  0.323  0.323  0.329
Sb  0.968  0.968  0.470
Se  0.294  0.294  0.753
Se  0.632  0.632  0.109

Formation energy (no corrections), eV per atom: -0.2342
D(E_F), states/eV/f.u.: 1.51
Total magnetic moment, Bohr magnetons per cell: 0.000
Symmetry: Cm
Energy, eV per atom: -3.683
Crystal system: monoclinic
Density, Mg/m³: 6.020

[2]
Below is a relaxed structure of CsGa2I, with properties calculated at the PBE-GGA level.

a b c (Å): 5.880 5.880 5.880
angles (deg): 60.00 60.00 60.00
Fractional positions:
Cs  0.000  0.000  0.000
Ga  0.250  0.250  0.250
Ga  0.750  0.750  0.750
I  0.500  0.500  0.500

Formation energy (no corrections), eV per atom: 0.0987
D(E_F), states/eV/f.u.: 3.76
Total magnetic moment, Bohr magnetons per cell: 0.000
Symmetry: Fm-3m
Energy, eV per atom: -2.016
Crystal system: cubic
Density, Mg/m³: 4.611

[3]
Below is a relaxed structure of PmGePt, with properties calculated at the PBE-GGA level.

a b c (Å): 4.651 4.651 4.651
angles (deg): 60.00 60.00 60.00
Fractional positions:
Pm  0.000  0.000  0.000
Ge  0.500  0.500  0.500
Pt  0.750  0.750  0.750

D(E_F), states/eV/f.u.: 6.59
Total magnetic moment, Bohr magnetons per cell: 0.005
Symmetry: F-43m
Energy, eV per atom: -5.971
Relative energy among the computed polymorphs, meV per atom: 274
ΔH_f (0 K), eV per atom: -0.834
Crystal system: cubic
Density, Mg/m³: 9.633

[4]
Below is a relaxed structure of NpPd3Rh3, with properties calculated at the PBE-GGA level.

a b c (Å): 7.776 7.776 7.776
angles (deg): 90.00 90.00 90.00
Fractional positions:
Np  0.099  0.401  0.599
Np  0.401  0.599  0.099
Np  0.599  0.099  0.401
Np  0.901  0.901  0.901
Pd  0.038  0.538  0.962
Pd  0.134  0.134  0.134
Pd  0.182  0.818  0.318
Pd  0.318  0.182  0.818
Pd  0.366  0.866  0.634
Pd  0.462  0.462  0.462
Pd  0.538  0.962  0.038
Pd  0.634  0.366  0.866
Pd  0.682  0.682  0.682
Pd  0.818  0.318  0.182
Pd  0.866  0.634  0.366
Pd  0.962  0.038  0.538
Rh  0.050  0.720  0.646
Rh  0.146  0.450  0.280
Rh  0.220  0.854  0.950
Rh  0.280  0.146  0.450
Rh  0.354  0.550  0.780
Rh  0.450  0.280  0.146
Rh  0.550  0.780  0.354
Rh  0.646  0.050  0.720
Rh  0.720  0.646  0.050
Rh  0.780  0.354  0.550
Rh  0.854  0.950  0.220
Rh  0.950  0.220  0.854

D(E_F), states/eV/f.u.: 12.26
Total magnetic moment, Bohr magnetons per cell: 4.150
Symmetry: P2_13
Energy, eV per atom: -7.267
ΔH_f (0 K), eV per atom: -0.042
Crystal system: cubic
Density, Mg/m³: 12.221

[5]
Below is a relaxed structure of KEu2Cl5, with properties calculated at the PBE-GGA level.

a b c (Å): 8.880 7.897 12.770
angles (deg): 90.00 90.06 90.00
Fractional positions:
K  0.010  0.039  0.330
K  0.010  0.461  0.830
K  0.990  0.539  0.170
K  0.990  0.961  0.670
Eu  0.251  0.567  0.494
Eu  0.251  0.933  0.994
Eu  0.498  0.519  0.178
Eu  0.498  0.981  0.678
Eu  0.502  0.019  0.322
Eu  0.502  0.481  0.822
Eu  0.749  0.067  0.006
Eu  0.749  0.433  0.506
Cl  0.034  0.165  0.090
Cl  0.034  0.335  0.590
Cl  0.271  0.695  0.714
Cl  0.271  0.805  0.214
Cl  0.284  0.550  0.997
Cl  0.284  0.950  0.497
Cl  0.286  0.171  0.819
Cl  0.286  0.329  0.319
Cl  0.462  0.158  0.102
Cl  0.462  0.342  0.602
Cl  0.538  0.658  0.398
Cl  0.538  0.842  0.898
Cl  0.714  0.671  0.681
Cl  0.714  0.829  0.181
Cl  0.716  0.050  0.503
Cl  0.716  0.450  0.003
Cl  0.729  0.195  0.786
Cl  0.729  0.305  0.286
Cl  0.966  0.665  0.410
Cl  0.966  0.835  0.910

Formation energy (no corrections), eV per atom: -2.2801
Total magnetic moment, Bohr magnetons per cell: 0.143
Symmetry: P2_1/c
Energy, eV per atom: -6.140
Crystal system: monoclinic
Density, Mg/m³: 3.859

[6]
Below is a relaxed structure of Ac2Tb8Ho3, with properties calculated at the PBE-GGA level.

a b c (Å): 8.836 8.836 6.237
angles (deg): 107.64 107.64 83.32
Fractional positions:
Ac  0.201  0.201  0.353
Ac  0.799  0.799  0.647
Tb  0.071  0.071  0.771
Tb  0.083  0.588  0.328
Tb  0.350  0.350  0.958
Tb  0.412  0.917  0.672
Tb  0.588  0.083  0.328
Tb  0.650  0.650  0.042
Tb  0.917  0.412  0.672
Tb  0.929  0.929  0.229
Ho  0.251  0.749  0.000
Ho  0.500  0.500  0.500
Ho  0.749  0.251  0.000

D(E_F), states/eV/f.u.: 20.55
Total magnetic moment, Bohr magnetons per cell: 0.000
Symmetry: C2/m
Energy, eV per atom: -4.330
ΔH_f (0 K), eV per atom: 0.207
Crystal system: monoclinic
Density, Mg/m³: 8.338